Record 1
! KTe2As, relaxed, DFT GGA-PBE; values from VASP
! DOS(E_F)   2.0 states/eV/cell
! Formation energy (no corrections)   -4.10 kJ per mole of atoms
! Calculated density   5.5 Mg/m³
&SYSTEM
  ibrav = 0, nat = 4, ntyp = 3
/
ATOMIC_SPECIES
K 39.10 K.upf
Te 127.60 Te.upf
As 74.92 As.upf
ATOMIC_POSITIONS crystal
K 0.000 0.000 0.000
Te 0.000 0.500 0.500
Te 0.500 0.000 0.500
As 0.500 0.500 0.000
CELL_PARAMETERS angstrom
5.116 0.000 0.000
0.000 5.116 0.000
0.000 0.000 4.283


Record 2
! KTe4As2, relaxed, DFT GGA-PBE; values from VASP
! Formation energy (no corrections)   -20.28 kJ per mole of atoms
! Distance to the lowest polymorph of the same formula   0.000 eV per atom
! Calculated density   4.1 Mg/m³
&SYSTEM
  ibrav = 0, nat = 14, ntyp = 3
/
ATOMIC_SPECIES
K 39.10 K.upf
Te 127.60 Te.upf
As 74.92 As.upf
ATOMIC_POSITIONS crystal
K 0.000 0.000 0.000
K 0.654 0.346 0.500
Te 0.138 0.465 0.929
Te 0.152 0.130 0.544
Te 0.193 0.387 0.278
Te 0.535 0.862 0.071
Te 0.612 0.334 0.805
Te 0.613 0.807 0.722
Te 0.666 0.388 0.195
Te 0.870 0.848 0.456
As 0.354 0.079 0.768
As 0.354 0.610 0.164
As 0.390 0.646 0.836
As 0.921 0.646 0.232
CELL_PARAMETERS angstrom
5.424 -4.925 0.000
5.424 4.925 0.000
-4.833 0.000 10.513


Record 3
! KTe2As, relaxed, DFT GGA-PBE; values from VASP
! DOS(E_F)   1.8 states/eV/cell
! Formation energy (no corrections)   -26.55 kJ per mole of atoms
! Calculated density   3.9 Mg/m³
&SYSTEM
  ibrav = 0, nat = 4, ntyp = 3
/
ATOMIC_SPECIES
K 39.10 K.upf
Te 127.60 Te.upf
As 74.92 As.upf
ATOMIC_POSITIONS crystal
K 0.000 0.000 0.000
Te 0.157 0.157 0.502
Te 0.843 0.843 0.498
As 0.500 0.500 0.500
CELL_PARAMETERS angstrom
6.171 -2.125 0.000
6.171 2.125 0.000
-0.051 0.000 5.975


Record 4
! KTe2As, relaxed, DFT GGA-PBE; values from VASP
! DOS(E_F)   1.3 states/eV/cell
! Formation energy (no corrections)   -35.85 kJ per mole of atoms
! Calculated density   3.9 Mg/m³
&SYSTEM
  ibrav = 0, nat = 4, ntyp = 3
/
ATOMIC_SPECIES
K 39.10 K.upf
Te 127.60 Te.upf
As 74.92 As.upf
ATOMIC_POSITIONS crystal
K 0.000 0.000 0.000
Te 0.261 0.261 0.975
Te 0.529 0.529 0.516
As 0.718 0.718 0.645
CELL_PARAMETERS angstrom
6.951 -2.047 0.000
6.951 2.047 0.000
-1.232 0.000 5.568


Record 5
! KTe3As2, relaxed, DFT GGA-PBE; values from VASP
! DOS(E_F)   3.0 states/eV/cell
! Formation energy (no corrections)   -21.60 kJ per mole of atoms
! Distance to the lowest polymorph of the same formula   0.000 eV per atom
! Calculated density   4.4 Mg/m³
&SYSTEM
  ibrav = 0, nat = 12, ntyp = 3
/
ATOMIC_SPECIES
K 39.10 K.upf
Te 127.60 Te.upf
As 74.92 As.upf
ATOMIC_POSITIONS crystal
K 0.000 0.000 0.000
K 0.356 0.395 0.209
Te 0.136 0.588 0.662
Te 0.213 0.110 0.607
Te 0.566 0.266 0.842
Te 0.577 0.764 0.881
Te 0.771 0.487 0.397
Te 0.838 0.976 0.375
As 0.253 0.922 0.442
As 0.652 0.598 0.636
As 0.683 0.152 0.602
As 0.983 0.628 0.921
CELL_PARAMETERS angstrom
5.843 0.000 0.000
0.261 8.345 0.000
2.749 3.536 8.805


Record 6
! K3Te12As5, relaxed, DFT GGA-PBE; values from VASP
! DOS(E_F)   58.8 states/eV/cell
! Formation energy (no corrections)   -7.71 kJ per mole of atoms
! Calculated density   4.7 Mg/m³
&SYSTEM
  ibrav = 0, nat = 80, ntyp = 3
/
ATOMIC_SPECIES
K 39.10 K.upf
Te 127.60 Te.upf
As 74.92 As.upf
ATOMIC_POSITIONS crystal
K 0.125 0.250 0.375
K 0.125 0.375 0.750
K 0.250 0.375 0.125
K 0.250 0.875 0.625
K 0.375 0.125 0.250
K 0.375 0.750 0.125
K 0.625 0.250 0.875
K 0.625 0.875 0.750
K 0.750 0.125 0.375
K 0.750 0.625 0.875
K 0.875 0.625 0.250
K 0.875 0.750 0.625
Te 0.024 0.203 0.115
Te 0.024 0.322 0.909
Te 0.087 0.703 0.678
Te 0.087 0.885 0.409
Te 0.091 0.615 0.413
Te 0.091 0.976 0.678
Te 0.115 0.024 0.203
Te 0.115 0.591 0.913
Te 0.178 0.203 0.587
Te 0.178 0.476 0.591
Te 0.203 0.115 0.024
Te 0.203 0.587 0.178
Te 0.297 0.322 0.913
Te 0.297 0.476 0.385
Te 0.322 0.909 0.024
Te 0.322 0.913 0.297
Te 0.385 0.297 0.476
Te 0.385 0.587 0.909
Te 0.409 0.087 0.885
Te 0.409 0.822 0.524
Te 0.413 0.091 0.615
Te 0.413 0.822 0.797
Te 0.476 0.385 0.297
Te 0.476 0.591 0.178
Te 0.524 0.409 0.822
Te 0.524 0.615 0.703
Te 0.587 0.178 0.203
Te 0.587 0.909 0.385
Te 0.591 0.178 0.476
Te 0.591 0.913 0.115
Te 0.615 0.413 0.091
Te 0.615 0.703 0.524
Te 0.678 0.087 0.703
Te 0.678 0.091 0.976
Te 0.703 0.524 0.615
Te 0.703 0.678 0.087
Te 0.797 0.413 0.822
Te 0.797 0.885 0.976
Te 0.822 0.524 0.409
Te 0.822 0.797 0.413
Te 0.885 0.409 0.087
Te 0.885 0.976 0.797
Te 0.909 0.024 0.322
Te 0.909 0.385 0.587
Te 0.913 0.115 0.591
Te 0.913 0.297 0.322
Te 0.976 0.678 0.091
Te 0.976 0.797 0.885
As 0.000 0.000 0.000
As 0.000 0.000 0.500
As 0.000 0.500 0.000
As 0.000 0.500 0.500
As 0.125 0.750 0.875
As 0.125 0.875 0.250
As 0.250 0.125 0.875
As 0.250 0.625 0.375
As 0.375 0.250 0.625
As 0.375 0.625 0.750
As 0.500 0.000 0.000
As 0.500 0.000 0.500
As 0.500 0.500 0.000
As 0.500 0.500 0.500
As 0.625 0.375 0.250
As 0.625 0.750 0.375
As 0.750 0.375 0.625
As 0.750 0.875 0.125
As 0.875 0.125 0.750
As 0.875 0.250 0.125
CELL_PARAMETERS angstrom
-8.967 8.967 8.967
8.967 -8.967 8.967
8.967 8.967 -8.967


Record 7
! KTe2As, relaxed, DFT GGA-PBE; values from VASP
! Formation energy (no corrections)   -40.44 kJ per mole of atoms
! Calculated density   3.8 Mg/m³
&SYSTEM
  ibrav = 0, nat = 16, ntyp = 3
/
ATOMIC_SPECIES
K 39.10 K.upf
Te 127.60 Te.upf
As 74.92 As.upf
ATOMIC_POSITIONS crystal
K 0.135 0.232 0.116
K 0.135 0.768 0.616
K 0.865 0.232 0.384
K 0.865 0.768 0.884
Te 0.220 0.279 0.654
Te 0.220 0.721 0.154
Te 0.376 0.313 0.391
Te 0.376 0.687 0.891
Te 0.624 0.313 0.109
Te 0.624 0.687 0.609
Te 0.780 0.279 0.846
Te 0.780 0.721 0.346
As 0.437 0.315 0.881
As 0.437 0.685 0.381
As 0.563 0.315 0.619
As 0.563 0.685 0.119
CELL_PARAMETERS angstrom
7.043 0.000 0.000
0.000 6.985 0.000
-4.835 0.000 12.997


Record 8
! K5Te6As2, relaxed, DFT GGA-PBE; values from VASP
! DOS(E_F)   3.6 states/eV/cell
! Formation energy (no corrections)   -62.44 kJ per mole of atoms
! Calculated density   3.5 Mg/m³
&SYSTEM
  ibrav = 0, nat = 26, ntyp = 3
/
ATOMIC_SPECIES
K 39.10 K.upf
Te 127.60 Te.upf
As 74.92 As.upf
ATOMIC_POSITIONS crystal
K 0.000 0.000 0.000
K 0.059 0.263 0.000
K 0.189 0.519 0.000
K 0.311 0.019 0.000
K 0.441 0.763 0.000
K 0.500 0.500 0.000
K 0.559 0.237 0.000
K 0.689 0.981 0.000
K 0.811 0.481 0.000
K 0.941 0.737 0.000
Te 0.043 0.604 0.500
Te 0.151 0.113 0.500
Te 0.190 0.799 0.000
Te 0.310 0.299 0.000
Te 0.349 0.613 0.500
Te 0.457 0.104 0.500
Te 0.543 0.896 0.500
Te 0.651 0.387 0.500
Te 0.690 0.701 0.000
Te 0.810 0.201 0.000
Te 0.849 0.887 0.500
Te 0.957 0.396 0.500
As 0.193 0.720 0.500
As 0.307 0.220 0.500
As 0.693 0.780 0.500
As 0.807 0.280 0.500
CELL_PARAMETERS angstrom
13.651 0.000 0.000
0.000 14.925 0.000
0.000 0.000 5.176


Record 9
! KTe2As, relaxed, DFT GGA-PBE; values from VASP
! DOS(E_F)   0.5 states/eV/cell
! Formation energy (no corrections)   -27.15 kJ per mole of atoms
! Calculated density   4.9 Mg/m³
&SYSTEM
  ibrav = 0, nat = 4, ntyp = 3
/
ATOMIC_SPECIES
K 39.10 K.upf
Te 127.60 Te.upf
As 74.92 As.upf
ATOMIC_POSITIONS crystal
K 0.000 0.000 0.000
Te 0.497 0.500 0.726
Te 0.503 0.500 0.274
As 0.500 0.000 0.500
CELL_PARAMETERS angstrom
3.366 0.000 0.000
0.000 4.237 0.000
-0.017 0.000 8.731


Record 10
! KTe4As2, relaxed, DFT GGA-PBE; values from VASP
! DOS(E_F)   8.1 states/eV/cell
! Formation energy (no corrections)   -15.43 kJ per mole of atoms
! Distance to the lowest polymorph of the same formula   0.050 eV per atom
! Calculated density   5.2 Mg/m³
&SYSTEM
  ibrav = 0, nat = 14, ntyp = 3
/
ATOMIC_SPECIES
K 39.10 K.upf
Te 127.60 Te.upf
As 74.92 As.upf
ATOMIC_POSITIONS crystal
K 0.090 0.910 0.750
K 0.910 0.090 0.250
Te 0.000 0.000 0.000
Te 0.000 0.000 0.500
Te 0.299 0.701 0.091
Te 0.299 0.701 0.409
Te 0.370 0.630 0.750
Te 0.630 0.370 0.250
Te 0.701 0.299 0.591
Te 0.701 0.299 0.909
As 0.349 0.651 0.571
As 0.349 0.651 0.929
As 0.651 0.349 0.071
As 0.651 0.349 0.429
CELL_PARAMETERS angstrom
2.033 -6.526 0.000
2.033 6.526 0.000
0.000 0.000 16.783


Record 11
! KTe2As, relaxed, DFT GGA-PBE; values from VASP
! DOS(E_F)   0.5 states/eV/cell
! Formation energy (no corrections)   -35.77 kJ per mole of atoms
! Calculated density   3.8 Mg/m³
&SYSTEM
  ibrav = 0, nat = 4, ntyp = 3
/
ATOMIC_SPECIES
K 39.10 K.upf
Te 127.60 Te.upf
As 74.92 As.upf
ATOMIC_POSITIONS crystal
K 0.000 0.000 0.000
Te 0.101 0.995 0.496
Te 0.502 0.510 0.020
As 0.571 0.661 0.392
CELL_PARAMETERS angstrom
4.112 0.000 0.000
-0.016 5.737 0.000
-0.176 -2.179 6.881


Record 12
! KTi2TeAs, relaxed, DFT GGA-PBE; values from VASP
! DOS(E_F)   6.6 states/eV/cell
! Formation energy (no corrections)   164.92 kJ per mole of atoms
! Calculated density   4.5 Mg/m³
&SYSTEM
  ibrav = 0, nat = 5, ntyp = 4
/
ATOMIC_SPECIES
K 39.10 K.upf
Ti 47.87 Ti.upf
Te 127.60 Te.upf
As 74.92 As.upf
ATOMIC_POSITIONS crystal
K 0.000 0.000 0.000
Ti 0.000 0.500 0.000
Ti 0.500 0.000 0.000
Te 0.500 0.500 0.500
As 0.000 0.000 0.500
CELL_PARAMETERS angstrom
4.884 0.000 0.000
0.000 4.884 0.000
0.000 0.000 5.239